The following is a DFT calculation (GGA+U) of an optimized crystal structure of SbMoI2F.

POSCAR file:
```
SbMoI2F
1.0
-0.892 0.048 -5.480
5.431 -0.734 -0.891
-0.729 -5.478 0.071
Mo I F Sb
1 2 1 1
Direct
0.000 0.000 0.000
0.500 0.000 0.000
0.000 0.500 0.000
0.500 0.500 0.500
0.000 0.000 0.500
```

Computed properties:
Energy above the most stable polymorph in this dataset ... 0.883 eV/f.u.